# 1
## KBiAu (PBE-GGA)

Data for a geometry-optimized KBiAu structure.

Unit cell a=5.0593 b=4.8653 c=4.8653 alpha=120.00 beta=90.00 gamma=90.00
With the nearest neighbours (Å) after each atom.
Sites, in units of the cell vectors:
1 K 0.6667 0.6667 0.3333  6 Au 3.78, 6 Bi 3.78
2 Au 0.1665 0.0000 0.0000  3 Bi 2.81
3 Bi 0.1668 0.3333 0.6667  3 Au 2.81

Values from the calculation:
* relative energy among the computed polymorphs: 37 meV per atom

# 2
## KBi3Au (PBE-GGA)

Data for a geometry-optimized KBi3Au structure.

Unit cell a=6.8254 b=6.8041 c=7.0825 alpha=90.00 beta=90.00 gamma=90.00
With the nearest neighbours (Å) after each atom.
Sites, in units of the cell vectors:
1 K 0.4584 0.3993 0.7008  1 Au 3.30, 1 Bi 3.48
2 K 0.9584 0.9535 0.2006  1 Au 3.30, 1 Bi 3.48
3 Bi 0.3472 0.2848 0.2008  1 Au 2.88
4 Bi 0.4640 0.8942 0.9562  2 Au 2.96-3.00, 1 Bi 3.27
5 Bi 0.9639 0.4587 0.4562  2 Au 2.96-3.00, 1 Bi 3.27
6 Bi 0.8472 0.0680 0.7007  1 Au 2.88
7 Bi 0.9639 0.4586 0.9454  2 Au 2.96-3.00, 1 Bi 3.27
8 Bi 0.4639 0.8941 0.4454  2 Au 2.96-3.00, 1 Bi 3.27
9 Au 0.1446 0.7686 0.7009  5 Bi 2.88-3.00
10 Au 0.6446 0.5842 0.2008  5 Bi 2.88-3.00

Values from the calculation:
* relative energy among the computed polymorphs: 0 meV per atom

# 3
## KBiAu10 (PBE-GGA)

Data for a geometry-optimized KBiAu10 structure.

Unit cell a=4.6261 b=5.6873 c=9.9269 alpha=90.00 beta=90.00 gamma=90.00
With the nearest neighbours (Å) after each atom.
Sites, in units of the cell vectors:
1 K 0.0000 0.0000 0.0000  18 Au 3.33-3.69
2 Bi 0.0000 0.5000 0.5000  6 Au 3.23-3.26
3 Au 0.0000 0.0000 0.3402  6 Au 2.80-2.86
4 Au 0.0000 0.5000 0.8257  6 Au 2.82-2.89
5 Au 0.0000 0.5000 0.1743  6 Au 2.82-2.89
6 Au 0.0000 0.0000 0.6598  6 Au 2.80-2.86
7 Au 0.5000 0.0000 0.5000  8 Au 2.80-2.85
8 Au 0.5000 0.5000 0.0000  8 Au 2.87-2.89
9 Au 0.5000 0.2512 0.2520  8 Au 2.82-2.87
10 Au 0.5000 0.7488 0.7480  8 Au 2.82-2.87
11 Au 0.5000 0.7488 0.2520  8 Au 2.82-2.87
12 Au 0.5000 0.2512 0.7480  8 Au 2.82-2.87

# 4
## KBi2Au4 (PBE-GGA)

Data for a geometry-optimized KBi2Au4 structure.

Unit cell a=7.8441 b=7.8441 c=7.8441 alpha=111.57 beta=108.43 gamma=108.43
With the nearest neighbours (Å) after each atom.
Sites, in units of the cell vectors:
1 K 0.0000 0.2500 0.2500  8 Au 3.55
2 K 0.0000 0.7500 0.7500  8 Au 3.55
3 Au 0.8106 0.8193 0.3193  4 Au 2.89-3.23, 4 Bi 2.97-3.06
4 Au 0.1894 0.5087 0.0087  4 Au 2.89-3.23, 4 Bi 2.97-3.06
5 Au 0.5000 0.3193 0.5087  4 Au 2.89-3.23, 4 Bi 2.97-3.06
6 Au 0.5000 0.0087 0.8193  4 Au 2.89-3.23, 4 Bi 2.97-3.06
7 Au 0.5000 0.9913 0.1807  4 Au 2.89-3.23, 4 Bi 2.97-3.06
8 Au 0.5000 0.6807 0.4913  4 Au 2.89-3.23, 4 Bi 2.97-3.06
9 Au 0.8106 0.4913 0.9913  4 Au 2.89-3.23, 4 Bi 2.97-3.06
10 Au 0.1894 0.1807 0.6807  4 Au 2.89-3.23, 4 Bi 2.97-3.06
11 Bi 0.7775 0.1387 0.6387  8 Au 2.97-3.06
12 Bi 0.2225 0.8613 0.3613  8 Au 2.97-3.06
13 Bi 0.5000 0.6387 0.8613  8 Au 2.97-3.06
14 Bi 0.5000 0.3613 0.1387  8 Au 2.97-3.06

# 5
## K5Bi2Au (PBE-GGA)

Data for a geometry-optimized K5Bi2Au structure.

Unit cell a=6.0864 b=6.0864 c=10.5121 alpha=73.17 beta=73.17 gamma=60.00
With the nearest neighbours (Å) after each atom.
Sites, in units of the cell vectors:
1 K 0.5000 0.5000 0.5000  8 K 3.84-3.93, 6 Bi 4.14
2 K 0.3679 0.3679 0.8964  3 Au 3.66, 3 Bi 3.92, 4 K 3.93-4.07
3 K 0.6321 0.6321 0.1036  3 Au 3.66, 3 Bi 3.92, 4 K 3.93-4.07
4 K 0.2184 0.2184 0.3448  4 Bi 3.57-3.72, 3 K 3.84
5 K 0.7816 0.7816 0.6552  4 Bi 3.57-3.72, 3 K 3.84
6 Bi 0.0932 0.0932 0.7204  1 Au 2.77
7 Bi 0.9068 0.9068 0.2796  1 Au 2.77
8 Au 0.0000 0.0000 0.0000  2 Bi 2.77

# 6
## KBiAu (PBE-GGA)

Data for a geometry-optimized KBiAu structure.

Unit cell a=5.9803 b=5.9978 c=6.7516 alpha=111.22 beta=110.47 gamma=96.33
With the nearest neighbours (Å) after each atom.
Sites, in units of the cell vectors:
1 K 0.1063 0.3903 0.2478  4 Au 3.46-3.67, 3 Bi 3.64-3.77
2 K 0.8937 0.6097 0.7522  4 Au 3.46-3.67, 3 Bi 3.64-3.77
3 Bi 0.5177 0.9849 0.2516  2 Au 2.75
4 Bi 0.4823 0.0151 0.7484  2 Au 2.75
5 Au 0.0000 0.0000 0.5000  2 Bi 2.75
6 Au 0.5000 0.5000 0.0000  2 Bi 2.75

Values from the calculation:
* relative energy among the computed polymorphs: 0 meV per atom

# 7
## K3Bi4Au2 (PBE-GGA)

Data for a geometry-optimized K3Bi4Au2 structure.

Unit cell a=4.7623 b=7.2095 c=11.7331 alpha=59.53 beta=78.29 gamma=70.71
With the nearest neighbours (Å) after each atom.
Sites, in units of the cell vectors:
1 K 0.3242 0.7238 0.6278  3 Au 3.62-3.77, 7 Bi 3.67-3.99
2 K 0.0000 0.0000 0.0000  4 Bi 3.54-3.64, 4 Au 3.82
3 K 0.6758 0.2762 0.3722  3 Au 3.62-3.77, 7 Bi 3.67-3.99
4 Bi 0.2397 0.4208 0.0998  1 Au 2.83, 2 Bi 3.12
5 Bi 0.7603 0.5792 0.9002  1 Au 2.83, 2 Bi 3.12
6 Bi 0.0303 0.2993 0.6400  2 Au 2.83, 1 Bi 3.07
7 Bi 0.9697 0.7007 0.3600  2 Au 2.83, 1 Bi 3.07
8 Au 0.3868 0.9546 0.2717  3 Bi 2.83
9 Au 0.6132 0.0454 0.7283  3 Bi 2.83

Values from the calculation:
* relative energy among the computed polymorphs: 0 meV per atom

# 8
## KBiAu (PBE-GGA)

Data for a geometry-optimized KBiAu structure.

Unit cell a=5.3603 b=6.6575 c=6.8713 alpha=68.90 beta=67.69 gamma=89.85
With the nearest neighbours (Å) after each atom.
Sites, in units of the cell vectors:
1 K 0.5394 0.8998 0.4553  4 Au 3.33-3.70, 1 Bi 3.63
2 K 0.7575 0.5248 0.0075  2 Au 3.37, 3 Bi 3.61-3.69
3 Bi 0.0345 0.4562 0.4721  3 Au 2.77-2.93
4 Bi 0.2435 0.8944 0.0278  2 Au 2.74-2.99
5 Au 0.4399 0.3451 0.6676  3 Bi 2.93-2.99, 1 Au 3.24
6 Au 0.1563 0.2010 0.2167  2 Bi 2.74-2.77

Values from the calculation:
* relative energy among the computed polymorphs: 53 meV per atom

How do the records compare in energy of formation? In the order shown, they have -28.4; -16.2; -7.3; -14.0; -40.4; -32.0; -26.4; -26.9 kJ per mole of atoms.
How do the records compare in DFT total energy? In the order shown, they have -3.046; -3.372; -3.222; -3.284; -2.485; -3.083; -3.093; -3.031 eV/atom.